(1)
B2MoI (GGA-PBEsol, relaxed); SG = Fm-3m (225); E_tot = -0.37475 Ry/atom; raw formation energy = 1.793 eV/atom; DOS(E_F) = 2.54 states/eV per cell; total moment = 0.00 μB/atom
1.0
-1.744 -3.509 1.450
2.273 -2.686 2.254
-0.730 -0.434 4.092
I B Mo
1 2 1
Direct
0.500 0.500 0.500
0.750 0.750 0.750
0.250 0.250 0.250
0.000 0.000 0.000

=====

(2)
Rb2WCl6 (GGA-PBEsol, relaxed); SG = Fm-3m (225); E_tot = -0.32878 Ry/atom; raw formation energy = -1.373 eV/atom; DOS(E_F) = 6.55 states/eV per cell; total moment = 0.22 μB/atom
1.0
6.997 0.000 0.000
3.499 6.060 0.000
3.499 2.020 5.713
Cl Rb W
6 2 1
Direct
0.239 0.239 0.761
0.761 0.239 0.239
0.239 0.761 0.239
0.761 0.239 0.761
0.239 0.761 0.761
0.761 0.761 0.239
0.250 0.250 0.250
0.750 0.750 0.750
0.000 0.000 0.000